An optimized crystal structure of Be3Fe2. Source: Alexandria, functional PBE.

```
5
Lattice="3.715 0.000 0.000 -1.857 3.217 0.000 0.000 0.000 4.400" Properties=species:S:1:pos:R:3 pbc="T T T"
Be 0.000 0.000 0.000
Be 0.000 2.145 1.663
Be 1.857 1.072 2.737
Fe 0.000 2.145 3.864
Fe 1.857 1.072 0.537
```

Values from the calculation:
electronic total energy: -5.4286 eV/atom
energy relative to the elements: 0.96 eV per formula unit
E above lowest polymorph: 161.5 meV/atom
V: 10.5 Å³/atom